# 1
# GGA-PBE Cd2TcTe, relaxed
data_Cd2TcTe
_cell_length_a 5.422
_cell_length_b 5.422
_cell_length_c 5.422
_cell_angle_alpha 132.60
_cell_angle_beta 132.60
_cell_angle_gamma 69.28
_symmetry_space_group_name_H-M 'P 1'
_symmetry_Int_Tables_number 1
_symmetry_space_group_name_Hall 'P 1'
loop_
_atom_site_label
_atom_site_type_symbol
_atom_site_fract_x
_atom_site_fract_y
_atom_site_fract_z
Cd1 Cd 0.250 0.750 0.500
Cd2 Cd 0.000 0.000 0.000
Te1 Te 0.750 0.250 0.500
Tc1 Tc 0.500 0.500 0.000
# ρ: 8.83 g/cm3
# raw total energy: -13.4 eV for the cell shown
# crystal system: tetragonal
# space-group type: I-4m2
# DOS(E_F): 2.9 states/eV per cell

=====

# 2
# GGA-PBE CrTe2RuC, relaxed
data_CrTe2RuC
_cell_length_a 5.174
_cell_length_b 4.499
_cell_length_c 5.174
_cell_angle_alpha 90.00
_cell_angle_beta 90.00
_cell_angle_gamma 90.00
_symmetry_space_group_name_H-M 'P 1'
_symmetry_Int_Tables_number 1
_symmetry_space_group_name_Hall 'P 1'
loop_
_atom_site_label
_atom_site_type_symbol
_atom_site_fract_x
_atom_site_fract_y
_atom_site_fract_z
Cr1 Cr 0.000 0.500 0.000
Ru1 Ru 0.000 0.000 0.000
Te1 Te 0.500 0.000 0.000
Te2 Te 0.000 0.000 0.500
C1 C 0.500 0.500 0.500
# ρ: 5.79 g/cm3
# raw total energy: -23.8 eV for the cell shown
# crystal system: tetragonal
# space-group type: P4/mmm
# DOS(E_F): 6.8 states/eV per cell

=====

# 3
# GGA-PBE YTlP2, relaxed
data_YTlP2
_cell_length_a 4.978
_cell_length_b 4.978
_cell_length_c 4.978
_cell_angle_alpha 60.00
_cell_angle_beta 60.00
_cell_angle_gamma 60.00
_symmetry_space_group_name_H-M 'P 1'
_symmetry_Int_Tables_number 1
_symmetry_space_group_name_Hall 'P 1'
loop_
_atom_site_label
_atom_site_type_symbol
_atom_site_fract_x
_atom_site_fract_y
_atom_site_fract_z
P1 P 0.250 0.250 0.250
P2 P 0.000 0.000 0.000
Tl1 Tl 0.500 0.500 0.500
Y1 Y 0.750 0.750 0.750
# offset from the most stable computed form: 669 meV/atom
# ρ: 6.76 g/cm3
# crystal system: cubic
# DFT formation energy: 0.0729 eV/atom
# space-group type: F-43m
# DOS(E_F): 2.7 states/eV per cell

=====

# 4
# GGA-PBE CuPd7Rh2, relaxed
data_CuPd7Rh2
_cell_length_a 2.676
_cell_length_b 8.742
_cell_length_c 8.742
_cell_angle_alpha 122.94
_cell_angle_beta 90.00
_cell_angle_gamma 90.00
_symmetry_space_group_name_H-M 'P 1'
_symmetry_Int_Tables_number 1
_symmetry_space_group_name_Hall 'P 1'
loop_
_atom_site_label
_atom_site_type_symbol
_atom_site_fract_x
_atom_site_fract_y
_atom_site_fract_z
Rh1 Rh 0.500 0.671 0.329
Rh2 Rh 0.500 0.329 0.671
Pd1 Pd 0.500 0.683 0.865
Pd2 Pd 0.500 0.865 0.683
Pd3 Pd 0.000 0.816 0.184
Pd4 Pd 0.500 0.317 0.135
Pd5 Pd 0.500 0.500 0.500
Pd6 Pd 0.000 0.184 0.816
Pd7 Pd 0.500 0.135 0.317
Cu1 Cu 0.000 0.000 0.000
# ρ: 9.81 g/cm3
# crystal system: orthorhombic
# DFT formation energy: 0.3824 eV/atom
# space-group type: Cmmm
# DOS(E_F): 16.0 states/eV per cell

=====

Which value of DOS(E_F) does entry 4 give?
16.0 states/eV per cell

=====

What did the third record say?
# GGA-PBE YTlP2, relaxed
data_YTlP2
_cell_length_a 4.978
_cell_length_b 4.978
_cell_length_c 4.978
_cell_angle_alpha 60.00
_cell_angle_beta 60.00
_cell_angle_gamma 60.00
_symmetry_space_group_name_H-M 'P 1'
_symmetry_Int_Tables_number 1
_symmetry_space_group_name_Hall 'P 1'
loop_
_atom_site_label
_atom_site_type_symbol
_atom_site_fract_x
_atom_site_fract_y
_atom_site_fract_z
P1 P 0.250 0.250 0.250
P2 P 0.000 0.000 0.000
Tl1 Tl 0.500 0.500 0.500
Y1 Y 0.750 0.750 0.750
# offset from the most stable computed form: 669 meV/atom
# ρ: 6.76 g/cm3
# crystal system: cubic
# DFT formation energy: 0.0729 eV/atom
# space-group type: F-43m
# DOS(E_F): 2.7 states/eV per cell

=====

Which value of ρ does entry 2 give?
5.79 g/cm3